No. 1
{
  "formula": "SrPmRh",
  "functional": "PBE",
  "state": "relaxed",
  "cell": [[-3.2464, 5.6938, 1.7641], [-2.0962, -2.0988, 2.9165], [3.6393, 1.7856, 0.9340]],
  "species": ["Sr", "Rh", "Pm"],
  "fractional_positions": [[0.7507, 0.6667, 0.3333], [0.0234, 0.0000, 0.0000], [0.2259, 0.3333, 0.6667]],
  "total_magnetization_mub_per_fu": 0.00,
  "space_group": "P3m1 (156)",
  "de_polymorph_mev_per_atom": 99
}



No. 2
{
  "formula": "La2Cu2Ge",
  "functional": "PBE",
  "state": "relaxed",
  "cell": [[4.3123, 0.0000, 0.0000], [2.1562, 5.4542, -0.1929], [2.1562, 0.5257, 10.0251]],
  "species": ["La", "La", "La", "La", "Cu", "Cu", "Cu", "Cu", "Ge", "Ge"],
  "fractional_positions": [[0.6896, 0.2594, 0.3615], [0.9070, 0.2943, 0.8918], [0.3104, 0.7406, 0.6385], [0.0930, 0.7057, 0.1082], [0.0489, 0.3208, 0.5814], [0.6135, 0.8847, 0.8883], [0.9511, 0.6792, 0.4186], [0.3865, 0.1153, 0.1117], [0.5911, 0.1451, 0.6728], [0.4089, 0.8549, 0.3272]],
  "total_magnetization_mub_per_fu": 0.00,
  "space_group": "C2/m (12)",
  "de_polymorph_mev_per_atom": 0
}



No. 3
{
  "formula": "BaSi2IrRh",
  "functional": "PBE",
  "state": "relaxed",
  "cell": [[4.1471, 0.0000, 0.0000], [0.0000, 4.1471, 0.0000], [-2.0735, -2.0735, 6.0398]],
  "species": ["Ba", "Si", "Si", "Ir", "Rh"],
  "fractional_positions": [[0.0000, 0.0000, 0.0000], [0.6521, 0.6521, 0.3043], [0.3479, 0.3479, 0.6957], [0.2500, 0.7500, 0.5000], [0.7500, 0.2500, 0.5000]],
  "e_form_raw_ev_per_atom": -0.828,
  "total_magnetization_mub_per_fu": 0.00,
  "space_group": "I-4m2 (119)"
}



No. 4
{
  "formula": "Pa3SnSe8",
  "functional": "PBE",
  "state": "relaxed",
  "cell": [[8.4062, 0.0000, 0.0000], [-4.2031, 7.2800, 0.0000], [0.0000, 0.0000, 13.3309]],
  "species": ["Pa", "Pa", "Pa", "Pa", "Pa", "Pa", "Sn", "Sn", "Se", "Se", "Se", "Se", "Se", "Se", "Se", "Se", "Se", "Se", "Se", "Se", "Se", "Se", "Se", "Se"],
  "fractional_positions": [[0.8340, 0.6680, 0.7147], [0.3320, 0.1660, 0.7147], [0.8340, 0.1660, 0.7147], [0.1660, 0.8340, 0.2147], [0.6680, 0.8340, 0.2147], [0.1660, 0.3320, 0.2147], [0.6667, 0.3333, 0.9605], [0.3333, 0.6667, 0.4605], [0.8418, 0.6836, 0.1076], [0.5108, 0.4892, 0.8328], [0.6667, 0.3333, 0.6024], [0.0000, 0.0000, 0.8289], [0.0000, 0.0000, 0.3289], [0.3164, 0.1582, 0.1076], [0.9784, 0.4892, 0.8328], [0.5108, 0.0216, 0.8328], [0.1582, 0.8418, 0.6076], [0.8418, 0.1582, 0.1076], [0.4892, 0.9784, 0.3328], [0.0216, 0.5108, 0.3328], [0.3333, 0.6667, 0.1024], [0.6836, 0.8418, 0.6076], [0.4892, 0.5108, 0.3328], [0.1582, 0.3164, 0.6076]],
  "e_form_raw_ev_per_atom": -1.166,
  "total_magnetization_mub_per_fu": 1.15,
  "space_group": "P6_3mc (186)"
}



No. 5
{
  "formula": "LiTiP4O12",
  "functional": "PBE",
  "state": "relaxed",
  "cell": [[10.7256, -0.0786, 0.0874], [3.5581, 10.1185, 0.0874], [0.8843, 0.6216, 5.2278]],
  "species": ["Li", "Li", "Ti", "Ti", "P", "P", "P", "P", "P", "P", "P", "P", "O", "O", "O", "O", "O", "O", "O", "O", "O", "O", "O", "O", "O", "O", "O", "O", "O", "O", "O", "O", "O", "O", "O", "O"],
  "fractional_positions": [[0.4051, 0.4051, 0.5018], [0.5949, 0.5949, 0.4982], [0.5000, 0.0000, 0.0000], [0.0000, 0.5000, 0.0000], [0.3626, 0.7948, 0.8338], [0.7948, 0.3626, 0.8338], [0.9358, 0.6970, 0.4563], [0.6970, 0.9358, 0.4563], [0.0642, 0.3030, 0.5437], [0.3030, 0.0642, 0.5437], [0.2052, 0.6374, 0.1662], [0.6374, 0.2052, 0.1662], [0.2313, 0.7687, 0.0000], [0.7687, 0.2313, 0.0000], [0.6578, 0.9216, 0.7421], [0.9216, 0.6578, 0.7421], [0.1575, 0.5675, 0.9962], [0.5675, 0.1575, 0.9962], [0.4400, 0.6825, 0.6879], [0.6825, 0.4400, 0.6879], [0.9202, 0.2877, 0.6386], [0.2877, 0.9202, 0.6386], [0.8494, 0.8494, 0.3963], [0.0990, 0.3877, 0.7024], [0.3877, 0.0990, 0.7024], [0.6123, 0.9010, 0.2976], [0.9010, 0.6123, 0.2976], [0.1506, 0.1506, 0.6037], [0.0798, 0.7123, 0.3614], [0.7123, 0.0798, 0.3614], [0.3175, 0.5600, 0.3121], [0.5600, 0.3175, 0.3121], [0.4325, 0.8425, 0.0038], [0.8425, 0.4325, 0.0038], [0.0784, 0.3422, 0.2579], [0.3422, 0.0784, 0.2579]],
  "e_form_raw_ev_per_atom": -2.255,
  "total_magnetization_mub_per_fu": 1.00,
  "space_group": "C2/m (12)",
  "de_polymorph_mev_per_atom": 0
}



No. 6
{
  "formula": "NdEr2F11",
  "functional": "PBE",
  "state": "relaxed",
  "cell": [[-5.7480, 5.5732, 2.3366], [-7.9789, -0.4991, -3.5529], [-5.6555, -2.2300, 6.2912]],
  "species": ["Nd", "Nd", "Er", "Er", "Er", "Er", "F", "F", "F", "F", "F", "F", "F", "F", "F", "F", "F", "F", "F", "F", "F", "F", "F", "F", "F", "F", "F", "F"],
  "fractional_positions": [[0.7500, 0.7500, 0.7500], [0.2500, 0.2500, 0.2500], [0.6559, 0.6883, 0.3117], [0.3441, 0.3117, 0.6883], [0.8441, 0.1883, 0.8117], [0.1559, 0.8117, 0.1883], [0.6562, 0.7085, 0.5526], [0.3438, 0.2915, 0.4474], [0.0827, 0.5526, 0.7085], [0.8438, 0.9474, 0.7915], [0.9173, 0.4474, 0.2915], [0.1562, 0.0526, 0.2085], [0.4173, 0.7915, 0.9474], [0.5827, 0.2085, 0.0526], [0.5000, 0.5000, 0.5000], [0.0000, 0.0000, 0.0000], [0.8895, 0.8024, 0.1976], [0.1105, 0.1976, 0.8024], [0.6105, 0.3024, 0.6976], [0.3895, 0.6976, 0.3024], [0.4663, 0.9646, 0.3140], [0.5337, 0.0354, 0.6860], [0.2551, 0.3140, 0.9646], [0.0337, 0.1860, 0.5354], [0.7449, 0.6860, 0.0354], [0.9663, 0.8140, 0.4646], [0.2449, 0.5354, 0.1860], [0.7551, 0.4646, 0.8140]],
  "e_form_raw_ev_per_atom": -3.451,
  "total_magnetization_mub_per_fu": 2.11,
  "space_group": "Ibam (72)"
}



No. 7
{
  "formula": "Pm2GaBi",
  "functional": "PBE",
  "state": "relaxed",
  "cell": [[-1.1335, -4.2118, 0.4724], [-0.1158, -0.4794, -4.5521], [11.7401, -2.9005, 2.3096]],
  "species": ["Pm", "Pm", "Pm", "Pm", "Ga", "Ga", "Bi", "Bi"],
  "fractional_positions": [[0.7500, 0.6766, 0.3531], [0.2500, 0.3234, 0.6469], [0.7500, 0.9410, 0.8820], [0.2500, 0.0590, 0.1180], [0.2500, 0.4648, 0.9296], [0.7500, 0.5352, 0.0704], [0.2500, 0.1897, 0.3794], [0.7500, 0.8103, 0.6206]],
  "total_magnetization_mub_per_fu": 0.00,
  "space_group": "Cmcm (63)",
  "de_polymorph_mev_per_atom": 0
}



No. 8
{
  "formula": "LaPm2Pd",
  "functional": "PBE",
  "state": "relaxed",
  "cell": [[-2.5650, -0.4064, -2.9864], [-0.7002, -3.5806, -1.5338], [-8.1939, -2.6296, 4.7731]],
  "species": ["La", "Pm", "Pm", "Pd"],
  "fractional_positions": [[0.5009, 0.5009, 0.4972], [0.0616, 0.0616, 0.8151], [0.2713, 0.2713, 0.1862], [0.6662, 0.6662, 0.0015]],
  "total_magnetization_mub_per_fu": 0.00,
  "space_group": "R3m (160)",
  "de_polymorph_mev_per_atom": 151
}